i) Y2GaSb: optimized geometry, PBE.

Unit cell a=7.4256 b=7.4256 c=7.4256 alpha=90.00 beta=90.00 gamma=90.00
Space group Fm-3m (No. 225)
Inequivalent atoms, fractional coordinates:
Y (0.2500, 0.2500, 0.2500) (multiplicity 8)
Ga (0.0000, 0.0000, 0.0000) (multiplicity 4)
Sb (0.0000, 0.0000, 0.5000) (multiplicity 4)

---

ii) Y2GaSb: optimized geometry, PBE.

Unit cell a=4.4025 b=23.3790 c=4.2410 alpha=90.00 beta=90.00 gamma=90.00
Space group Cmcm (No. 63)
Inequivalent atoms, fractional coordinates:
Y (0.0000, 0.0606, 0.2500) (multiplicity 4)
Y (0.0000, 0.3222, 0.2500) (multiplicity 4)
Ga (0.0000, 0.4639, 0.2500) (multiplicity 4)
Sb (0.0000, 0.1893, 0.2500) (multiplicity 4)

---

Stability, descending: ii), i)

---

i) Y2GaSb: optimized geometry, PBE.

Unit cell a=8.0032 b=8.0032 c=6.8880 alpha=90.00 beta=90.00 gamma=90.00
Space group I-42d (No. 122)
Inequivalent atoms, fractional coordinates:
Y (0.2382, 0.2500, 0.1250) (multiplicity 8)
Ga (0.0000, 0.0000, 0.0000) (multiplicity 4)
Sb (0.0000, 0.0000, 0.5000) (multiplicity 4)

---

ii) Y2GaSb: optimized geometry, PBE.

Unit cell a=4.1545 b=4.1545 c=22.5681 alpha=90.00 beta=90.00 gamma=120.00
Space group R-3m (No. 166, hexagonal axes)
Inequivalent atoms, fractional coordinates:
Y (0.0000, 0.0000, 0.2492) (multiplicity 6)
Ga (0.0000, 0.0000, 0.0000) (multiplicity 3)
Sb (0.0000, 0.0000, 0.5000) (multiplicity 3)

---

Stability, descending: ii), i)

---

i) Zn2Ga2Sb: optimized geometry, PBE.

Unit cell a=7.8834 b=7.8834 c=3.1664 alpha=90.00 beta=90.00 gamma=90.00
Space group P4/mbm (No. 127)
Inequivalent atoms, fractional coordinates:
Zn (0.1787, 0.3213, 0.0000) (multiplicity 4)
Ga (0.1239, 0.6239, 0.5000) (multiplicity 4)
Sb (0.0000, 0.0000, 0.5000) (multiplicity 2)

---

ii) Zn2Ga2Sb: optimized geometry, PBE.

Unit cell a=4.0467 b=4.0467 c=11.9847 alpha=90.00 beta=90.00 gamma=90.00
Space group I4/mmm (No. 139)
Inequivalent atoms, fractional coordinates:
Zn (0.0000, 0.0000, 0.1026) (multiplicity 4)
Ga (0.0000, 0.5000, 0.2500) (multiplicity 4)
Sb (0.0000, 0.0000, 0.5000) (multiplicity 2)

---

Stability, descending: ii), i)

---

i) Zr2Ga2Sb: optimized geometry, PBE.

Unit cell a=7.2171 b=7.2171 c=3.9127 alpha=90.00 beta=90.00 gamma=90.00
Space group P4/mbm (No. 127)
Inequivalent atoms, fractional coordinates:
Zr (0.1817, 0.3183, 0.0000) (multiplicity 4)
Ga (0.1202, 0.6202, 0.5000) (multiplicity 4)
Sb (0.0000, 0.0000, 0.5000) (multiplicity 2)

---

ii) Zr2Ga2Sb: optimized geometry, PBE.

Unit cell a=3.7082 b=3.7082 c=15.4482 alpha=90.00 beta=90.00 gamma=90.00
Space group I4/mmm (No. 139)
Inequivalent atoms, fractional coordinates:
Zr (0.0000, 0.0000, 0.1024) (multiplicity 4)
Ga (0.0000, 0.5000, 0.2500) (multiplicity 4)
Sb (0.0000, 0.0000, 0.5000) (multiplicity 2)

---

Stability, descending: ii), i)